Ni2Pt | PBE | optimized geometry

Results
Space group: P-3m1 (164)
Electronic total energy (eV/cell): -17.592

Cell lengths 2.6664, 2.6664, 6.2690 Å; angles 90.00, 90.00, 120.00 degrees
Closest atoms and distances in Å follow each position.
Fractional coordinates of all 3 atoms:
Ni 0.3333 0.6667 0.1524  9 Ni 2.45-2.67, 3 Pt 2.67
Ni 0.6667 0.3333 0.8476  9 Ni 2.45-2.67, 3 Pt 2.67
Pt 0.0000 0.0000 0.5000  6 Pt 2.67, 6 Ni 2.67

ZrHg2Pb | PBE | optimized geometry

Results
Space group: Pmm2 (25)
Electronic total energy (eV/cell): -12.739

Cell lengths 3.4194, 4.3473, 6.5316 Å; angles 90.00, 90.00, 90.00 degrees
Closest atoms and distances in Å follow each position.
Fractional coordinates of all 4 atoms:
Zr 0.0000 0.0000 0.0000  6 Hg 3.10-3.43, 4 Pb 3.17, 2 Zr 3.42
Hg 0.0000 0.0000 0.4753  2 Zr 3.10-3.43, 6 Hg 3.17-3.42, 4 Pb 3.34
Hg 0.5000 0.5000 0.2380  2 Pb 3.11-3.42, 6 Hg 3.17-3.42, 4 Zr 3.17
Pb 0.5000 0.5000 0.7616  6 Hg 3.11-3.42, 4 Zr 3.17, 2 Pb 3.42

Repeat the second record exactly.
ZrHg2Pb | PBE | optimized geometry

Results
Space group: Pmm2 (25)
Electronic total energy (eV/cell): -12.739

Cell lengths 3.4194, 4.3473, 6.5316 Å; angles 90.00, 90.00, 90.00 degrees
Closest atoms and distances in Å follow each position.
Fractional coordinates of all 4 atoms:
Zr 0.0000 0.0000 0.0000  6 Hg 3.10-3.43, 4 Pb 3.17, 2 Zr 3.42
Hg 0.0000 0.0000 0.4753  2 Zr 3.10-3.43, 6 Hg 3.17-3.42, 4 Pb 3.34
Hg 0.5000 0.5000 0.2380  2 Pb 3.11-3.42, 6 Hg 3.17-3.42, 4 Zr 3.17
Pb 0.5000 0.5000 0.7616  6 Hg 3.11-3.42, 4 Zr 3.17, 2 Pb 3.42

What did the first record say?
Ni2Pt | PBE | optimized geometry

Results
Space group: P-3m1 (164)
Electronic total energy (eV/cell): -17.592

Cell lengths 2.6664, 2.6664, 6.2690 Å; angles 90.00, 90.00, 120.00 degrees
Closest atoms and distances in Å follow each position.
Fractional coordinates of all 3 atoms:
Ni 0.3333 0.6667 0.1524  9 Ni 2.45-2.67, 3 Pt 2.67
Ni 0.6667 0.3333 0.8476  9 Ni 2.45-2.67, 3 Pt 2.67
Pt 0.0000 0.0000 0.5000  6 Pt 2.67, 6 Ni 2.67